LiGeBi2O6 after structural relaxation. Source: Alexandria, functional GGA-PBE.

Calculated values
- Theoretical density: 7.72 Mg/m³
- Magnetic moment: 1.0 μB per formula unit
- Uncorrected formation energy: -1394 meV/atom

CIF file:
```
data_LiGeBi2O6
_chemical_formula_sum 'Li3 Ge3 Bi6 O18'
_cell_length_a 5.5316
_cell_length_b 5.5316
_cell_length_c 14.4466
_cell_angle_alpha 90.00
_cell_angle_beta 90.00
_cell_angle_gamma 120.00
_space_group_name_H-M_alt 'R 3'
_space_group_IT_number 146
_space_group_name_Hall 'R 3'
loop_
_atom_site_label
_atom_site_type_symbol
_atom_site_fract_x
_atom_site_fract_y
_atom_site_fract_z
Li1 Li 0.0000 0.0000 0.0000
Ge1 Ge 0.0000 0.0000 0.4815
Bi1 Bi 0.0000 0.0000 0.2671
Bi2 Bi 0.0000 0.0000 0.7764
O1 O 0.0068 0.4253 0.2150
O2 O 0.0832 0.7100 0.0580
```